# 1
Tb3Pm2P4 (PBE, relaxed); total magnetization = 0.0 μB per cell; energy = -6.421 eV/atom
1.0
-3.405 0.730 2.030
0.284 -3.793 5.844
2.698 5.775 6.451
P Tb Pm
4 3 2
Direct
0.202 0.896 0.701
0.601 0.698 0.099
0.798 0.104 0.299
0.399 0.302 0.901
0.000 0.000 0.000
0.795 0.599 0.810
0.205 0.401 0.190
0.398 0.808 0.395
0.602 0.192 0.605


# 2
Ho2MgZn4 (PBE, relaxed); total magnetization = 0.0 μB per cell; energy = -2.365 eV/atom
1.0
0.758 -4.564 -1.030
3.816 -1.260 -2.513
5.654 -2.765 5.503
Ho Zn Mg
2 4 1
Direct
0.750 0.750 0.749
0.250 0.250 0.251
0.873 0.873 0.380
0.625 0.625 0.124
0.127 0.127 0.620
0.375 0.375 0.876
0.000 0.000 0.000


# 3
Pm2Er3Ru2 (PBE, relaxed); total magnetization = 0.0 μB per cell; energy = -6.281 eV/atom
1.0
-1.270 3.591 0.589
-1.270 -3.369 5.191
8.220 2.976 -0.418
Ru Pm Er
2 2 3
Direct
0.177 0.353 0.231
0.823 0.647 0.769
0.163 0.326 0.802
0.837 0.674 0.198
0.623 0.246 0.426
0.500 0.000 0.000
0.377 0.754 0.574


Q: total magnetization of number 1 (Tb3Pm2P4)?
A: 0.0 μB per cell


Please write out number 2 again, unchanged.
Ho2MgZn4 (PBE, relaxed); total magnetization = 0.0 μB per cell; energy = -2.365 eV/atom
1.0
0.758 -4.564 -1.030
3.816 -1.260 -2.513
5.654 -2.765 5.503
Ho Zn Mg
2 4 1
Direct
0.750 0.750 0.749
0.250 0.250 0.251
0.873 0.873 0.380
0.625 0.625 0.124
0.127 0.127 0.620
0.375 0.375 0.876
0.000 0.000 0.000


Q: Look up the energy of the second one.
A: -2.365 eV/atom